1.
Entry from Alexandria via LeMat-Bulk: Hf2Zr2Ga4Ni after structural relaxation (PBE).

total magnetic moment = 0.00 μB/cell
formation energy from the elements = -0.273 eV per atom

Unit cell a=6.2249 b=6.2249 c=6.2249 alpha=87.26 beta=121.59 gamma=121.59
Last column: nearest neighbours and their distance in Å.
Sites, in units of the cell vectors:
Hf1 0.0000 0.7326 0.7326  1 Ni 2.41
Hf2 0.0000 0.2674 0.2674  1 Ni 2.41
Zr1 0.5000 0.7500 0.2500  4 Hf 3.04, 8 Ga 3.12
Zr2 0.5000 0.2500 0.7500  4 Hf 3.04, 8 Ga 3.12
Ga1 0.0000 0.7273 0.2727  1 Ni 2.34
Ga2 0.4545 0.7273 0.7273  1 Ni 2.34
Ga3 0.0000 0.2727 0.7273  1 Ni 2.34
Ga4 0.5455 0.2727 0.2727  1 Ni 2.34
Ni1 0.0000 0.0000 0.0000  4 Ga 2.34, 2 Hf 2.41


2.
Entry from Alexandria via LeMat-Bulk: HfNpGa after structural relaxation (PBE).

total magnetic moment = 7.19 μB/cell
formation energy from the elements = -0.161 eV per atom

Unit cell a=4.2605 b=3.4406 c=16.4889 alpha=90.00 beta=90.00 gamma=90.00
Last column: nearest neighbours and their distance in Å.
Sites, in units of the cell vectors:
Ga1 0.2027 0.7500 0.8591  5 Hf 2.83-2.85, 4 Np 2.97-3.10
Ga2 0.2973 0.7500 0.3591  5 Hf 2.83-2.85, 4 Np 2.97-3.10
Ga3 0.7973 0.2500 0.1409  5 Hf 2.83-2.85, 4 Np 2.97-3.10
Ga4 0.7027 0.2500 0.6409  5 Hf 2.83-2.85, 4 Np 2.97-3.10
Np1 0.1959 0.2500 0.5134  2 Np 2.44
Np2 0.3041 0.2500 0.0134  2 Np 2.44
Np3 0.8041 0.7500 0.4866  2 Np 2.44
Np4 0.6959 0.7500 0.9866  2 Np 2.44
Hf1 0.2043 0.7500 0.6877  5 Ga 2.83-2.85
Hf2 0.2957 0.7500 0.1877  5 Ga 2.83-2.85
Hf3 0.7957 0.2500 0.3123  5 Ga 2.83-2.85
Hf4 0.7043 0.2500 0.8123  5 Ga 2.83-2.85